Entry from OQMD: an optimized crystal structure of NbCoPb2 (GGA-PBE).

Geometry as extended XYZ:
```
4
Lattice="2.697 -3.419 2.292 -0.784 -4.772 -0.913 3.331 -2.603 -2.519" Properties=species:S:1:pos:R:3 pbc="T T T"
Pb 3.933 -8.096 -0.855
Pb 2.622 -5.397 -0.570
Co 0.000 0.000 0.000
Nb 1.311 -2.699 -0.285
```

Output
As for the volume: 84 Å³/cell. Its total moment is 2.002 μB per formula unit. The value obtained for the uncorrected energy is -21.38 eV/cell.